# Mg30MnVO32 | the Alexandria database | GGA-PBEsol | relaxed
# Energy   -6.363 eV per atom
# Spin magnetization   4.1 Bohr magnetons per cell
# Formation energy without anion corrections   -253.8 kJ per mole of atoms
data_Mg30MnVO32
_chemical_formula_sum 'Mg30 Mn1 V1 O32'
_cell_length_a 8.4263
_cell_length_b 8.4263
_cell_length_c 8.4272
_cell_angle_alpha 90.00
_cell_angle_beta 90.00
_cell_angle_gamma 90.00
_space_group_name_H-M_alt 'P 4/m m m'
_space_group_IT_number 123
_space_group_name_Hall '-P 4 2'
loop_
_atom_site_label
_atom_site_type_symbol
_atom_site_fract_x
_atom_site_fract_y
_atom_site_fract_z
_atom_site_occupancy
Mg1 Mg 0.0000 0.0000 0.0000 1
Mg2 Mg 0.0000 0.2487 0.2514 1
Mg3 Mg 0.0000 0.5000 0.0000 1
Mg4 Mg 0.0000 0.5000 0.5000 1
Mg5 Mg 0.2487 0.2487 0.5000 1
Mg6 Mg 0.2499 0.2499 0.0000 1
Mg7 Mg 0.2499 0.5000 0.2503 1
Mg8 Mg 0.5000 0.5000 0.0000 1
Mn1 Mn 0.0000 0.0000 0.5000 1
V1 V 0.5000 0.5000 0.5000 1
O1 O 0.0000 0.0000 0.2519 1
O2 O 0.0000 0.2480 0.5000 1
O3 O 0.0000 0.2492 0.0000 1
O4 O 0.0000 0.5000 0.2506 1
O5 O 0.2462 0.5000 0.5000 1
O6 O 0.2499 0.2499 0.2504 1
O7 O 0.2496 0.5000 0.0000 1
O8 O 0.5000 0.5000 0.2468 1